! BaMoF2 PBE+U relaxed; values from VASP
&SYSTEM
  ibrav = 0, nat = 16, ntyp = 3
/
ATOMIC_SPECIES
Ba 137.33 Ba.upf
Mo 95.94 Mo.upf
F 19.00 F.upf
ATOMIC_POSITIONS angstrom
Ba 0.0000 0.0000 0.0000
Ba 0.0000 3.4912 3.4912
Ba 3.4912 0.0000 3.4912
Ba 3.4912 3.4912 0.0000
Mo 0.0000 0.0000 3.4912
Mo 0.0000 3.4912 0.0000
Mo 3.4912 0.0000 0.0000
Mo 3.4912 3.4912 3.4912
F 1.7456 1.7456 1.7456
F 1.7456 1.7456 5.2368
F 1.7456 5.2368 1.7456
F 1.7456 5.2368 5.2368
F 5.2368 1.7456 1.7456
F 5.2368 1.7456 5.2368
F 5.2368 5.2368 1.7456
F 5.2368 5.2368 5.2368
CELL_PARAMETERS angstrom
6.9823 0.0000 0.0000
0.0000 6.9823 0.0000
0.0000 0.0000 6.9823
! Uncorrected energy = -76.06 eV per cell